1.
Here is a relaxed structure of GdEr2PdPt2Pb3 from OQMD. Energies are from GGA-PBE.

Values from the calculation:
Total moment = 0.0 μB/cell
Final energy = -5.50 eV/atom

abc: 3.932 7.776 7.776
angles: 120.24 90.00 90.00
Fractional positions:
Gd 0.000 0.000 0.000
Er 0.000 0.406 0.813
Er 0.000 0.813 0.406
Pd 0.000 0.409 0.409
Pt 0.500 0.074 0.736
Pt 0.500 0.736 0.074
Pb 0.500 0.144 0.406
Pb 0.500 0.406 0.144
Pb 0.500 0.669 0.669

=====

2.
Here is a relaxed structure of Nd2CuSn6 from OQMD. Energies are from GGA-PBE.

Values from the calculation:
Total moment = 0.0 μB/cell
Final energy = -4.59 eV/atom

abc: 11.717 11.717 4.559
angles: 90.00 90.00 157.95
Fractional positions:
Nd 0.175 0.825 0.000
Nd 0.825 0.175 0.000
Cu 0.500 0.500 0.500
Sn 0.069 0.931 0.500
Sn 0.293 0.707 0.500
Sn 0.432 0.568 0.000
Sn 0.568 0.432 0.000
Sn 0.707 0.293 0.500
Sn 0.931 0.069 0.500

=====

3.
Here is a relaxed structure of Li4CoSn2Ir from OQMD. Energies are from GGA-PBE.

Values from the calculation:
Total moment = 0.0 μB/cell
Final energy = -4.24 eV/atom

abc: 4.374 4.374 6.164
angles: 90.00 90.00 90.00
Fractional positions:
Li 0.000 0.000 0.000
Li 0.000 0.500 0.247
Li 0.500 0.000 0.753
Li 0.500 0.500 0.500
Co 0.500 0.500 0.000
Sn 0.000 0.500 0.761
Sn 0.500 0.000 0.239
Ir 0.000 0.000 0.500

=====

Look up the final energy of the second one.
-4.59 eV/atom

=====

Please write out number 1 again, unchanged.
Here is a relaxed structure of GdEr2PdPt2Pb3 from OQMD. Energies are from GGA-PBE.

Values from the calculation:
Total moment = 0.0 μB/cell
Final energy = -5.50 eV/atom

abc: 3.932 7.776 7.776
angles: 120.24 90.00 90.00
Fractional positions:
Gd 0.000 0.000 0.000
Er 0.000 0.406 0.813
Er 0.000 0.813 0.406
Pd 0.000 0.409 0.409
Pt 0.500 0.074 0.736
Pt 0.500 0.736 0.074
Pb 0.500 0.144 0.406
Pb 0.500 0.406 0.144
Pb 0.500 0.669 0.669

=====

Please write out number 1 again, unchanged.
Here is a relaxed structure of GdEr2PdPt2Pb3 from OQMD. Energies are from GGA-PBE.

Values from the calculation:
Total moment = 0.0 μB/cell
Final energy = -5.50 eV/atom

abc: 3.932 7.776 7.776
angles: 120.24 90.00 90.00
Fractional positions:
Gd 0.000 0.000 0.000
Er 0.000 0.406 0.813
Er 0.000 0.813 0.406
Pd 0.000 0.409 0.409
Pt 0.500 0.074 0.736
Pt 0.500 0.736 0.074
Pb 0.500 0.144 0.406
Pb 0.500 0.406 0.144
Pb 0.500 0.669 0.669

=====

Number 3 is which compound?
Li4CoSn2Ir